1.
The following is a DFT calculation (PBE) of a geometry-optimized Al3CuPd12 structure.

Properties
VASP energy: -5.31 eV/atom

Cell lengths 3.915, 3.915, 15.544 Å; angles 90.00, 90.00, 90.00 degrees
Space group P4/mmm (No. 123)
Unique sites:
Al 0.000 0.000 0.000 (multiplicity 1)
Al 0.000 0.000 0.251 (multiplicity 2)
Cu 0.000 0.000 0.500 (multiplicity 1)
Pd 0.000 0.500 0.126 (multiplicity 4)
Pd 0.000 0.500 0.375 (multiplicity 4)
Pd 0.500 0.500 0.000 (multiplicity 1)
Pd 0.500 0.500 0.251 (multiplicity 2)
Pd 0.500 0.500 0.500 (multiplicity 1)

***

2.
The following is a DFT calculation (PBE) of a geometry-optimized Al5Cu2Pd12 structure.

Properties
VASP energy: -5.11 eV/atom

Cell lengths 14.328, 5.509, 8.202 Å; angles 90.00, 105.28, 90.00 degrees
Space group C2/m (No. 12)
Unique sites:
Al 0.000 0.000 0.000 (multiplicity 2)
Al 0.153 0.500 0.352 (multiplicity 4)
Al 0.186 0.500 0.851 (multiplicity 4)
Cu 0.000 0.273 0.500 (multiplicity 4)
Pd 0.009 0.500 0.832 (multiplicity 4)
Pd 0.073 0.000 0.768 (multiplicity 4)
Pd 0.158 0.248 0.089 (multiplicity 8)
Pd 0.189 0.244 0.606 (multiplicity 8)

***

3.
The following is a DFT calculation (PBE) of a geometry-optimized AlCu5Pd4 structure.

Properties
VASP energy: -4.81 eV/atom

Cell lengths 4.421, 5.300, 6.240 Å; angles 75.84, 73.83, 80.47 degrees
Space group P-1 (No. 2)
Unique sites:
Al 0.000 0.000 0.000 (multiplicity 1)
Cu 0.000 0.500 0.000 (multiplicity 1)
Cu 0.214 0.786 0.603 (multiplicity 2)
Cu 0.410 0.589 0.197 (multiplicity 2)
Pd 0.184 0.292 0.614 (multiplicity 2)
Pd 0.382 0.099 0.199 (multiplicity 2)

***

4.
The following is a DFT calculation (PBE) of a geometry-optimized AlCu14Pd structure.

Properties
VASP energy: -4.23 eV/atom

Cell lengths 8.480, 5.140, 9.050 Å; angles 90.00, 90.00, 90.00 degrees
Space group Amm2 (No. 38)
Unique sites:
Al 0.000 0.000 0.000 (multiplicity 2)
Cu 0.000 0.250 0.252 (multiplicity 4)
Cu 0.250 0.000 0.166 (multiplicity 4)
Cu 0.256 0.000 0.667 (multiplicity 4)
Cu 0.256 0.248 0.914 (multiplicity 8)
Cu 0.500 0.000 0.329 (multiplicity 2)
Cu 0.500 0.000 0.831 (multiplicity 2)
Cu 0.500 0.248 0.081 (multiplicity 4)
Pd 0.000 0.000 0.502 (multiplicity 2)

***

5.
The following is a DFT calculation (PBE) of a geometry-optimized AlCu2Pd2 structure.

Properties
Energy relative to the lowest polymorph listed for this composition: 0 meV per atom
VASP energy: -4.78 eV/atom

Cell lengths 4.278, 5.530, 12.277 Å; angles 90.00, 90.00, 90.00 degrees
Space group Imma (No. 74)
Unique sites:
Al 0.000 0.250 0.132 (multiplicity 4)
Cu 0.000 0.250 0.500 (multiplicity 4)
Cu 0.000 0.250 0.885 (multiplicity 4)
Pd 0.000 0.001 0.679 (multiplicity 8)

***

6.
The following is a DFT calculation (PBE) of a geometry-optimized PmAl2CuPd4 structure.

Properties
VASP energy: -5.35 eV/atom

Cell lengths 4.2904, 4.2904, 25.9481 Å; angles 90.00, 90.00, 120.00 degrees
Space group R-3m (No. 166, hexagonal axes)
Unique sites:
Pm 0.0000 0.0000 0.0000 (multiplicity 3)
Al 0.0000 0.0000 0.2334 (multiplicity 6)
Cu 0.0000 0.0000 0.5000 (multiplicity 3)
Pd 0.0000 0.0000 0.1299 (multiplicity 6)
Pd 0.0000 0.0000 0.4023 (multiplicity 6)

***

7.
The following is a DFT calculation (PBE) of a geometry-optimized Pm3AlCu2Pd9 structure.

Properties
VASP energy: -5.21 eV/atom

Cell lengths 7.4108, 7.4108, 6.3916 Å; angles 90.00, 90.00, 120.00 degrees
Space group P-3m1 (No. 164)
Unique sites:
Pm 0.0000 0.0000 0.0000 (multiplicity 1)
Pm 0.3333 0.6667 0.6720 (multiplicity 2)
Al 0.0000 0.0000 0.5000 (multiplicity 1)
Cu 0.3333 0.6667 0.1724 (multiplicity 2)
Pd 0.0000 0.5000 0.0000 (multiplicity 3)
Pd 0.1628 0.3256 0.3296 (multiplicity 6)

***

8.
The following is a DFT calculation (PBE) of a geometry-optimized PmAlCuPd structure.

Properties
Energy relative to the lowest polymorph listed for this composition: 0 meV per atom
VASP energy: -5.04 eV/atom

Cell lengths 7.597, 4.377, 5.365 Å; angles 90.00, 118.13, 90.00 degrees
Space group Cm (No. 8)
Unique sites:
Pm 0.000 0.000 0.000 (multiplicity 2)
Al 0.498 0.000 0.495 (multiplicity 2)
Cu 0.205 0.000 0.616 (multiplicity 2)
Pd 0.293 0.500 0.380 (multiplicity 2)

***

9.
The following is a DFT calculation (PBE) of a geometry-optimized Pm2Al4Cu3Pd structure.

Properties
VASP energy: -4.71 eV/atom

Cell lengths 4.219, 4.219, 10.312 Å; angles 90.00, 90.00, 90.00 degrees
Space group P-4m2 (No. 115)
Unique sites:
Pm 0.000 0.500 0.249 (multiplicity 2)
Al 0.000 0.000 0.000 (multiplicity 1)
Al 0.000 0.500 0.630 (multiplicity 2)
Al 0.500 0.500 0.000 (multiplicity 1)
Cu 0.000 0.500 0.868 (multiplicity 2)
Cu 0.500 0.500 0.500 (multiplicity 1)
Pd 0.000 0.000 0.500 (multiplicity 1)

***

10.
The following is a DFT calculation (PBE) of a geometry-optimized Pm2Al3Cu12Pd structure.

Properties
VASP energy: -4.11 eV/atom

Cell lengths 6.0053, 6.0053, 28.7526 Å; angles 90.00, 90.00, 120.00 degrees
Space group R-3m (No. 166, hexagonal axes)
Unique sites:
Pm 0.0000 0.0000 0.1466 (multiplicity 6)
Al 0.0000 0.5000 0.0000 (multiplicity 9)
Cu 0.0380 0.5190 0.0966 (multiplicity 18)
Cu 0.0683 0.5341 0.6172 (multiplicity 18)
Pd 0.0000 0.0000 0.5000 (multiplicity 3)

***

11.
The following is a DFT calculation (PBE) of a geometry-optimized PmAl4CuPd2 structure.

Properties
VASP energy: -4.91 eV/atom

Cell lengths 4.2647, 4.2647, 26.6354 Å; angles 90.00, 90.00, 120.00 degrees
Space group R-3m (No. 166, hexagonal axes)
Unique sites:
Pm 0.0000 0.0000 0.0000 (multiplicity 3)
Al 0.0000 0.0000 0.1328 (multiplicity 6)
Al 0.0000 0.0000 0.4050 (multiplicity 6)
Cu 0.0000 0.0000 0.5000 (multiplicity 3)
Pd 0.0000 0.0000 0.2351 (multiplicity 6)

***

12.
The following is a DFT calculation (PBE) of a geometry-optimized PmAlCuPd structure.

Properties
Energy relative to the lowest polymorph listed for this composition: 114 meV per atom
VASP energy: -4.93 eV/atom

Cell lengths 6.691, 6.691, 6.691 Å; angles 90.00, 90.00, 90.00 degrees
Space group F-43m (No. 216)
Unique sites:
Pm 0.000 0.000 0.000 (multiplicity 4)
Al 0.000 0.000 0.500 (multiplicity 4)
Cu 0.250 0.250 0.750 (multiplicity 4)
Pd 0.250 0.250 0.250 (multiplicity 4)

***

13.
The following is a DFT calculation (PBE) of a geometry-optimized PmAl4Cu2Pd structure.

Properties
VASP energy: -4.59 eV/atom

Cell lengths 4.2176, 4.2176, 26.8775 Å; angles 90.00, 90.00, 120.00 degrees
Space group R-3m (No. 166, hexagonal axes)
Unique sites:
Pm 0.0000 0.0000 0.0000 (multiplicity 3)
Al 0.0000 0.0000 0.1296 (multiplicity 6)
Al 0.0000 0.0000 0.4048 (multiplicity 6)
Cu 0.0000 0.0000 0.2386 (multiplicity 6)
Pd 0.0000 0.0000 0.5000 (multiplicity 3)

***

14.
The following is a DFT calculation (PBE) of a geometry-optimized Pm2Al3CuPd4 structure.

Properties
VASP energy: -5.32 eV/atom

Cell lengths 4.310, 4.310, 10.256 Å; angles 90.00, 90.00, 90.00 degrees
Space group P-4m2 (No. 115)
Unique sites:
Pm 0.000 0.500 0.246 (multiplicity 2)
Al 0.000 0.000 0.000 (multiplicity 1)
Al 0.000 0.500 0.625 (multiplicity 2)
Cu 0.500 0.500 0.000 (multiplicity 1)
Pd 0.000 0.000 0.500 (multiplicity 1)
Pd 0.000 0.500 0.866 (multiplicity 2)
Pd 0.500 0.500 0.500 (multiplicity 1)

***

15.
The following is a DFT calculation (PBE) of a geometry-optimized PrAlCuPd3 structure.

Properties
VASP energy: -5.19 eV/atom

Cell lengths 5.697, 13.073, 5.928 Å; angles 90.00, 90.00, 90.00 degrees
Space group Cmcm (No. 63)
Unique sites:
Pr 0.000 0.181 0.250 (multiplicity 4)
Al 0.000 0.119 0.750 (multiplicity 4)
Cu 0.000 0.387 0.250 (multiplicity 4)
Pd 0.000 0.319 0.750 (multiplicity 4)
Pd 0.250 0.000 0.000 (multiplicity 8)

***

16.
The following is a DFT calculation (PBE) of a geometry-optimized Pr2Al3Cu12Pd structure.

Properties
VASP energy: -4.12 eV/atom

Cell lengths 6.1050, 6.1050, 28.1138 Å; angles 90.00, 90.00, 120.00 degrees
Space group R-3m (No. 166, hexagonal axes)
Unique sites:
Pr 0.0000 0.0000 0.1495 (multiplicity 6)
Al 0.0000 0.5000 0.0000 (multiplicity 9)
Cu 0.0467 0.5233 0.0944 (multiplicity 18)
Cu 0.0718 0.5359 0.6179 (multiplicity 18)
Pd 0.0000 0.0000 0.5000 (multiplicity 3)

***

17.
The following is a DFT calculation (PBE) of a geometry-optimized Pr3Al2CuPd9 structure.

Properties
VASP energy: -5.31 eV/atom

Cell lengths 7.2262, 7.2262, 6.8563 Å; angles 90.00, 90.00, 120.00 degrees
Space group P-3m1 (No. 164)
Unique sites:
Pr 0.0000 0.0000 0.0000 (multiplicity 1)
Pr 0.3333 0.6667 0.6623 (multiplicity 2)
Al 0.3333 0.6667 0.1668 (multiplicity 2)
Cu 0.0000 0.0000 0.5000 (multiplicity 1)
Pd 0.0000 0.5000 0.0000 (multiplicity 3)
Pd 0.1689 0.3378 0.3323 (multiplicity 6)

***

18.
The following is a DFT calculation (PBE) of a geometry-optimized Pr2AlCuPd6 structure.

Properties
VASP energy: -5.39 eV/atom

Cell lengths 5.7070, 5.7070, 22.5144 Å; angles 90.00, 90.00, 120.00 degrees
Space group R-3m (No. 166, hexagonal axes)
Unique sites:
Pr 0.0000 0.0000 0.2080 (multiplicity 6)
Al 0.0000 0.0000 0.0000 (multiplicity 3)
Cu 0.0000 0.0000 0.5000 (multiplicity 3)
Pd 0.0028 0.5014 0.2528 (multiplicity 18)

***

19.
The following is a DFT calculation (PBE) of a geometry-optimized Pr2Al5Cu2Pd structure.

Properties
VASP energy: -4.63 eV/atom

Cell lengths 9.695, 9.695, 3.983 Å; angles 90.00, 90.00, 90.00 degrees
Space group P4/mbm (No. 127)
Unique sites:
Pr 0.187 0.313 0.000 (multiplicity 4)
Al 0.000 0.500 0.500 (multiplicity 2)
Al 0.050 0.801 0.500 (multiplicity 8)
Cu 0.108 0.608 0.000 (multiplicity 4)
Pd 0.000 0.000 0.000 (multiplicity 2)

***

20.
The following is a DFT calculation (PBE) of a geometry-optimized PrAl2CuPd4 structure.

Properties
VASP energy: -5.35 eV/atom

Cell lengths 4.2820, 4.2820, 26.4321 Å; angles 90.00, 90.00, 120.00 degrees
Space group R-3m (No. 166, hexagonal axes)
Unique sites:
Pr 0.0000 0.0000 0.0000 (multiplicity 3)
Al 0.0000 0.0000 0.2320 (multiplicity 6)
Cu 0.0000 0.0000 0.5000 (multiplicity 3)
Pd 0.0000 0.0000 0.1308 (multiplicity 6)
Pd 0.0000 0.0000 0.4037 (multiplicity 6)

***

| no. | calculated volume (Å³ per cell) |
| --- | --- |
| 1 | 238.3 |
| 2 | 624.5 |
| 3 | 135.4 |
| 4 | 394.4 |
| 5 | 290.5 |
| 6 | 413.7 |
| 7 | 304.0 |
| 8 | 157.3 |
| 9 | 183.5 |
| 10 | 898.0 |
| 11 | 419.5 |
| 12 | 299.6 |
| 13 | 414.0 |
| 14 | 190.5 |
| 15 | 441.5 |
| 16 | 907.4 |
| 17 | 310.1 |
| 18 | 635.1 |
| 19 | 374.4 |
| 20 | 419.7 |